This record from Alexandria via LeMat-Bulk describes Ac2NdBi2Te2 after structural relaxation. The functional is GGA-PBE.

a = 6.002 Å, b = 6.002 Å, c = 9.332 Å
α = 108.76°, β = 108.76°, γ = 90.00°
Element x y z (fractional)
Ac 0.377 0.377 0.754
Ac 0.623 0.623 0.246
Nd 0.000 0.000 0.000
Bi 0.000 0.500 0.000
Bi 0.500 0.000 0.000
Te 0.187 0.187 0.375
Te 0.813 0.813 0.625

Output
The mass density comes out at 7.05 g cm⁻³. Its electronic total energy is -32.54 eV per cell. The density of states at the Fermi level comes out at 4.9 states/eV per cell.